Cu5AgAu8 | PBE | relaxed

Its final energy is -3.45 eV/atom. The formation energy comes out at 91 meV per atom.

The structure belongs to space group I-4 (No. 82); the cell edges are 7.776, 7.776 and 7.854 Å and the angles 90.00°, 90.00° and 90.00°. The distinct sites, in fractional coordinates, are Cu at (0.000, 0.000, 0.000), Cu at (0.128, 0.775, 0.403), Ag at (0.000, 0.500, 0.750), Au at (0.071, 0.671, 0.074) and Au at (0.096, 0.840, 0.727).

---

CuAg2Au4 | PBE | relaxed

For the offset from the most stable computed form, the calculation gives 63 meV per atom. Its final energy is -3.15 eV/atom. The formation energy comes out at 121 meV per atom.

The structure belongs to space group R-3m (No. 166, hexagonal axes); the cell edges are 4.5237, 4.5237 and 22.3896 Å and the angles 90.00°, 90.00° and 120.00°. The distinct sites, in fractional coordinates, are Cu at (0.0000, 0.0000, 0.0000), Ag at (0.0000, 0.0000, 0.2490), Au at (0.0000, 0.0000, 0.1253) and Au at (0.0000, 0.0000, 0.3742).

---

Cu2Ag2Au | PBE | relaxed

For the offset from the most stable computed form, the calculation gives 138 meV per atom. Its final energy is -3.22 eV/atom. The formation energy comes out at 216 meV per atom.

The structure belongs to space group I4/mmm (No. 139); the cell edges are 3.419, 3.419 and 14.585 Å and the angles 90.00°, 90.00° and 90.00°. The distinct sites, in fractional coordinates, are Cu at (0.000, 0.500, 0.250), Ag at (0.000, 0.000, 0.105) and Au at (0.000, 0.000, 0.500).

---

CuAg2Au | PBE | relaxed

For the offset from the most stable computed form, the calculation gives 36 meV per atom. Its final energy is -3.24 eV/atom. The formation energy comes out at 27 meV per atom.

The structure belongs to space group I4/mmm (No. 139); the cell edges are 4.014, 4.014 and 8.248 Å and the angles 90.00°, 90.00° and 90.00°. The distinct sites, in fractional coordinates, are Cu at (0.000, 0.000, 0.000), Ag at (0.000, 0.500, 0.250) and Au at (0.000, 0.000, 0.500).

---

CuAg3Au2 | PBE | relaxed

Its final energy is -3.19 eV/atom. The formation energy comes out at 7 meV per atom.

The structure belongs to space group P-1 (No. 2); the cell edges are 5.061, 6.524 and 7.056 Å and the angles 112.06°, 91.67° and 105.88°. The distinct sites, in fractional coordinates, are Cu at (0.125, 0.121, 0.371), Ag at (0.031, 0.361, 0.781), Ag at (0.293, 0.619, 0.542), Ag at (0.376, 0.375, 0.126), Au at (0.203, 0.874, 0.960) and Au at (0.434, 0.116, 0.696).

---

Cu2AgAu | PBE | relaxed

For the offset from the most stable computed form, the calculation gives 8 meV per atom. Its final energy is -3.56 eV/atom. The formation energy comes out at 25 meV per atom.

The structure belongs to space group P4mm (No. 99); the cell edges are 2.974, 2.974 and 6.807 Å and the angles 90.00°, 90.00° and 90.00°. The distinct sites, in fractional coordinates, are Cu at (0.000, 0.000, 0.000), Cu at (0.500, 0.500, 0.199), Ag at (0.000, 0.000, 0.450) and Au at (0.500, 0.500, 0.753).

---

CuAg2Au | PBE | relaxed

For the offset from the most stable computed form, the calculation gives 89 meV per atom. Its final energy is -3.19 eV/atom. The formation energy comes out at 80 meV per atom.

The structure belongs to space group Fm-3m (No. 225); the cell edges are 6.456, 6.456 and 6.456 Å and the angles 90.00°, 90.00° and 90.00°. The distinct sites, in fractional coordinates, are Cu at (0.000, 0.000, 0.000), Ag at (0.250, 0.250, 0.250) and Au at (0.000, 0.000, 0.500).

---

Cu4AgAu3 | PBE | relaxed

For the offset from the most stable computed form, the calculation gives 0 meV per atom. Its final energy is -3.65 eV/atom. The formation energy comes out at -15 meV per atom.

The structure belongs to space group C2/m (No. 12); the cell edges are 15.138, 4.066 and 4.065 Å and the angles 90.00°, 105.40° and 90.00°. The distinct sites, in fractional coordinates, are Cu at (0.125, 0.000, 0.125), Cu at (0.125, 0.500, 0.625), Ag at (0.000, 0.000, 0.500), Au at (0.000, 0.500, 0.000) and Au at (0.249, 0.000, 0.750).